Computed, not measured: NaTbN after structural relaxation at the PBE level of DFT.

## Properties
total DFT energy (no corrections): -16.70 eV per formula unit
density: 4.817 Mg/m³
V: 135.1 Å³/cell
energy relative to the elements, uncorrected: -808 meV per atom

Structure (CIF):
```
data_NaTbN
_cell_length_a 3.732
_cell_length_b 4.806
_cell_length_c 7.532
_cell_angle_alpha 90.00
_cell_angle_beta 90.00
_cell_angle_gamma 90.00
_symmetry_space_group_name_H-M 'P m m n'
_symmetry_Int_Tables_number 59
loop_
_symmetry_equiv_pos_as_xyz
'x,y,z'
'-x,-y,-z'
'-x+1/2,-y+1/2,z'
'x+1/2,y+1/2,-z'
'x+1/2,-y,-z'
'-x+1/2,y,z'
'-x,y+1/2,-z'
'x,-y+1/2,z'
loop_
_atom_site_label
_atom_site_type_symbol
_atom_site_fract_x
_atom_site_fract_y
_atom_site_fract_z
Na1 Na 0.250 0.250 0.142
Tb1 Tb 0.250 0.250 0.600
N1 N 0.250 0.750 0.571
```

Computed, not measured: ZnGeAu4 after structural relaxation at the PBE level of DFT.

## Properties
E above lowest polymorph: 0.09 eV per formula unit
total DFT energy (no corrections): -19.08 eV per formula unit
density: 13.238 Mg/m³
V: 929.1 Å³/cell
formation energy from the elements: -0.013 eV per atom

Structure (CIF):
```
data_ZnGeAu4
_cell_length_a 7.571
_cell_length_b 8.897
_cell_length_c 13.793
_cell_angle_alpha 90.00
_cell_angle_beta 90.00
_cell_angle_gamma 90.00
_symmetry_space_group_name_H-M 'F d d d'
_symmetry_Int_Tables_number 70
loop_
_symmetry_equiv_pos_as_xyz
'x,y,z'
'-x,-y,-z'
'-x+1/4,-y+1/4,z'
'x+1/4,y+1/4,-z'
'x,-y+1/4,-z+1/4'
'-x,y+1/4,z+1/4'
'-x+1/4,y,-z+1/4'
'x+1/4,-y,z+1/4'
'x,y+1/2,z+1/2'
'-x,-y+1/2,-z+1/2'
'-x+1/4,-y+3/4,z+1/2'
'x+1/4,y+3/4,-z+1/2'
'x,-y+3/4,-z+3/4'
'-x,y+3/4,z+3/4'
'-x+1/4,y+1/2,-z+3/4'
'x+1/4,-y+1/2,z+3/4'
'x+1/2,y,z+1/2'
'-x+1/2,-y,-z+1/2'
'-x+3/4,-y+1/4,z+1/2'
'x+3/4,y+1/4,-z+1/2'
'x+1/2,-y+1/4,-z+3/4'
'-x+1/2,y+1/4,z+3/4'
'-x+3/4,y,-z+3/4'
'x+3/4,-y,z+3/4'
'x+1/2,y+1/2,z'
'-x+1/2,-y+1/2,-z'
'-x+3/4,-y+3/4,z'
'x+3/4,y+3/4,-z'
'x+1/2,-y+3/4,-z+1/4'
'-x+1/2,y+3/4,z+1/4'
'-x+3/4,y+1/2,-z+1/4'
'x+3/4,-y+1/2,z+1/4'
loop_
_atom_site_label
_atom_site_type_symbol
_atom_site_fract_x
_atom_site_fract_y
_atom_site_fract_z
Zn1 Zn 0.125 0.125 0.125
Ge1 Ge 0.125 0.125 0.625
Au1 Au 0.119 0.375 0.234
```

Computed, not measured: AcLa5Bi6 after structural relaxation at the PBE level of DFT.

## Properties
total DFT energy (no corrections): -64.57 eV per formula unit
density: 8.017 Mg/m³
V: 901.2 Å³/cell
formation energy from the elements: -1.045 eV per atom

Structure (CIF):
```
data_AcLa5Bi6
_cell_length_a 8.204
_cell_length_b 14.205
_cell_length_c 8.203
_cell_angle_alpha 90.00
_cell_angle_beta 109.48
_cell_angle_gamma 90.00
_symmetry_space_group_name_H-M 'C 1 2/m 1'
_symmetry_Int_Tables_number 12
loop_
_symmetry_equiv_pos_as_xyz
'x,y,z'
'-x,-y,-z'
'-x,y,-z'
'x,-y,z'
'x+1/2,y+1/2,z'
'-x+1/2,-y+1/2,-z'
'-x+1/2,y+1/2,-z'
'x+1/2,-y+1/2,z'
loop_
_atom_site_label
_atom_site_type_symbol
_atom_site_fract_x
_atom_site_fract_y
_atom_site_fract_z
Ac1 Ac 0.000 0.000 0.000
La1 La 0.000 0.165 0.500
La2 La 0.000 0.333 0.000
La3 La 0.000 0.500 0.500
Bi1 Bi 0.245 0.500 0.252
Bi2 Bi 0.246 0.331 0.746
```